P.
Density functional theory data (GGA-PBE) for crystalline AlFe3Mo at its relaxed geometry.

Cell lengths 4.231, 4.231, 4.231 Å; angles 90.00, 90.00, 90.00 degrees
Space group Pm-3m (No. 221)
Inequivalent atoms, fractional coordinates:
Al (0.000, 0.000, 0.000) (multiplicity 1)
Fe (0.000, 0.000, 0.500) (multiplicity 3)
Mo (0.500, 0.500, 0.500) (multiplicity 1)

Q.
Density functional theory data (GGA-PBE) for crystalline AlFe3Mo at its relaxed geometry.

Cell lengths 4.451, 4.451, 4.451 Å; angles 90.00, 90.00, 90.00 degrees
Space group Pm-3m (No. 221)
Inequivalent atoms, fractional coordinates:
Al (0.000, 0.000, 0.000) (multiplicity 1)
Fe (0.000, 0.500, 0.500) (multiplicity 3)
Mo (0.500, 0.500, 0.500) (multiplicity 1)

Verdict on stability: Q comes out at the bottom.

P.
Density functional theory data (GGA-PBE) for crystalline AlFeMo3 at its relaxed geometry.

Cell lengths 4.453, 4.453, 4.453 Å; angles 90.00, 90.00, 90.00 degrees
Space group Pm-3m (No. 221)
Inequivalent atoms, fractional coordinates:
Al (0.000, 0.000, 0.000) (multiplicity 1)
Fe (0.500, 0.500, 0.500) (multiplicity 1)
Mo (0.000, 0.500, 0.500) (multiplicity 3)

Q.
Density functional theory data (GGA-PBE) for crystalline AlFeMo3 at its relaxed geometry.

Cell lengths 4.466, 4.466, 4.466 Å; angles 90.00, 90.00, 90.00 degrees
Space group Pm-3m (No. 221)
Inequivalent atoms, fractional coordinates:
Al (0.000, 0.000, 0.000) (multiplicity 1)
Fe (0.500, 0.500, 0.500) (multiplicity 1)
Mo (0.000, 0.000, 0.500) (multiplicity 3)

Verdict on stability: Q comes out at the bottom.

P.
Density functional theory data (GGA-PBE) for crystalline AlFeSe2N at its relaxed geometry.

Cell lengths 4.924, 4.924, 3.398 Å; angles 90.00, 90.00, 90.00 degrees
Space group P4/mmm (No. 123)
Inequivalent atoms, fractional coordinates:
Al (0.000, 0.000, 0.000) (multiplicity 1)
Fe (0.500, 0.500, 0.500) (multiplicity 1)
Se (0.000, 0.500, 0.500) (multiplicity 2)
N (0.500, 0.500, 0.000) (multiplicity 1)

Q.
Density functional theory data (GGA-PBE) for crystalline AlFeSe2N at its relaxed geometry.

Cell lengths 4.976, 4.976, 3.476 Å; angles 90.00, 90.00, 90.00 degrees
Space group P4/mmm (No. 123)
Inequivalent atoms, fractional coordinates:
Al (0.000, 0.000, 0.000) (multiplicity 1)
Fe (0.500, 0.500, 0.500) (multiplicity 1)
Se (0.000, 0.500, 0.000) (multiplicity 2)
N (0.000, 0.000, 0.500) (multiplicity 1)

Verdict on stability: Q comes out at the bottom.